# 1
# CoTc2 (PBEsol, relaxed)
data_CoTc2
_chemical_formula_sum 'Co2 Tc4'
_cell_length_a 6.9916
_cell_length_b 6.9916
_cell_length_c 4.2031
_cell_angle_alpha 90.00
_cell_angle_beta 90.00
_cell_angle_gamma 158.36
_symmetry_space_group_name_H-M 'P 1'
_symmetry_Int_Tables_number 1
loop_
_symmetry_equiv_pos_as_xyz
'x,y,z'
loop_
_atom_site_label
_atom_site_fract_x
_atom_site_fract_y
_atom_site_fract_z
Co1 0.1106 0.8894 0.7500
Co2 0.8894 0.1106 0.2500
Tc1 0.2224 0.7776 0.2500
Tc2 0.4472 0.5528 0.7500
Tc3 0.5528 0.4472 0.2500
Tc4 0.7776 0.2224 0.7500
# ΔH_f (0 K)   -0.016 eV per atom
# Excess energy over the best structure of this formula in the dataset   0.0000 eV per atom
# V   12.63 Å³/atom



# 2
# OsSCl2 (PBEsol, relaxed)
data_OsSCl2
_chemical_formula_sum 'Os1 S1 Cl2'
_cell_length_a 11.2332
_cell_length_b 11.2332
_cell_length_c 11.2332
_cell_angle_alpha 14.23
_cell_angle_beta 14.23
_cell_angle_gamma 14.23
_symmetry_space_group_name_H-M 'P 1'
_symmetry_Int_Tables_number 1
loop_
_symmetry_equiv_pos_as_xyz
'x,y,z'
loop_
_atom_site_label
_atom_site_fract_x
_atom_site_fract_y
_atom_site_fract_z
Os1 0.0000 0.0000 0.0000
S1 0.5000 0.5000 0.5000
Cl1 0.0662 0.0662 0.0662
Cl2 0.9338 0.9338 0.9338
# ΔE_f (raw)   432 meV per atom
# V   18.65 Å³/atom



# 3
# KBa2Ni (PBEsol, relaxed)
data_KBa2Ni
_chemical_formula_sum 'K1 Ba2 Ni1'
_cell_length_a 3.8404
_cell_length_b 3.8404
_cell_length_c 11.2364
_cell_angle_alpha 90.00
_cell_angle_beta 90.00
_cell_angle_gamma 90.25
_symmetry_space_group_name_H-M 'P 1'
_symmetry_Int_Tables_number 1
loop_
_symmetry_equiv_pos_as_xyz
'x,y,z'
loop_
_atom_site_label
_atom_site_fract_x
_atom_site_fract_y
_atom_site_fract_z
K1 0.0000 0.0000 0.0000
Ba1 0.5000 0.5000 0.3436
Ba2 0.5000 0.5000 0.6564
Ni1 0.0000 0.0000 0.5000
# ΔH_f (0 K)   0.152 eV per atom
# V   41.43 Å³/atom



# 4
# Cd2TeP (PBEsol, relaxed)
data_Cd2TeP
_chemical_formula_sum 'Cd2 Te1 P1'
_cell_length_a 3.3154
_cell_length_b 3.3154
_cell_length_c 8.0200
_cell_angle_alpha 90.00
_cell_angle_beta 90.00
_cell_angle_gamma 90.00
_symmetry_space_group_name_H-M 'P 1'
_symmetry_Int_Tables_number 1
loop_
_symmetry_equiv_pos_as_xyz
'x,y,z'
loop_
_atom_site_label
_atom_site_fract_x
_atom_site_fract_y
_atom_site_fract_z
Cd1 0.0000 0.0000 0.2026
Cd2 0.0000 0.0000 0.7974
Te1 0.5000 0.5000 0.5000
P1 0.5000 0.5000 0.0000
# Excess energy over the best structure of this formula in the dataset   0.0000 eV per atom
# ΔE_f (raw)   267 meV per atom
# V   22.04 Å³/atom



# 5
# AsRuCl2 (PBEsol, relaxed)
data_AsRuCl2
_chemical_formula_sum 'As1 Ru1 Cl2'
_cell_length_a 6.8614
_cell_length_b 6.8614
_cell_length_c 4.4352
_cell_angle_alpha 108.70
_cell_angle_beta 108.70
_cell_angle_gamma 24.79
_symmetry_space_group_name_H-M 'P 1'
_symmetry_Int_Tables_number 1
loop_
_symmetry_equiv_pos_as_xyz
'x,y,z'
loop_
_atom_site_label
_atom_site_fract_x
_atom_site_fract_y
_atom_site_fract_z
As1 0.0000 0.0000 0.0000
Ru1 0.5000 0.5000 0.5000
Cl1 0.1503 0.1503 0.6500
Cl2 0.8497 0.8497 0.3500
# Excess energy over the best structure of this formula in the dataset   0.3426 eV per atom
# ΔE_f (raw)   32 meV per atom
# V   20.68 Å³/atom



# 6
# NbTe3Os (PBEsol, relaxed)
data_NbTe3Os
_chemical_formula_sum 'Nb1 Te3 Os1'
_cell_length_a 5.2729
_cell_length_b 5.2729
_cell_length_c 5.2729
_cell_angle_alpha 90.00
_cell_angle_beta 90.00
_cell_angle_gamma 90.00
_symmetry_space_group_name_H-M 'P 1'
_symmetry_Int_Tables_number 1
loop_
_symmetry_equiv_pos_as_xyz
'x,y,z'
loop_
_atom_site_label
_atom_site_fract_x
_atom_site_fract_y
_atom_site_fract_z
Nb1 0.0000 0.0000 0.0000
Te1 0.0000 0.0000 0.5000
Te2 0.0000 0.5000 0.0000
Te3 0.5000 0.0000 0.0000
Os1 0.5000 0.5000 0.5000
# ΔE_f (raw)   1504 meV per atom
# V   29.32 Å³/atom



# 7
# TlPt2W (PBEsol, relaxed)
data_TlPt2W
_chemical_formula_sum 'Tl1 Pt2 W1'
_cell_length_a 4.9607
_cell_length_b 4.9607
_cell_length_c 4.9607
_cell_angle_alpha 132.05
_cell_angle_beta 132.05
_cell_angle_gamma 70.15
_symmetry_space_group_name_H-M 'P 1'
_symmetry_Int_Tables_number 1
loop_
_symmetry_equiv_pos_as_xyz
'x,y,z'
loop_
_atom_site_label
_atom_site_fract_x
_atom_site_fract_y
_atom_site_fract_z
Tl1 0.0000 0.0000 0.0000
Pt1 0.2500 0.7500 0.5000
Pt2 0.7500 0.2500 0.5000
W1 0.5000 0.5000 0.0000
# ΔH_f (0 K)   0.354 eV per atom
# V   16.50 Å³/atom



# 8
# Zr2PbSe (PBEsol, relaxed)
data_Zr2PbSe
_chemical_formula_sum 'Zr2 Pb1 Se1'
_cell_length_a 7.2042
_cell_length_b 7.2042
_cell_length_c 7.2042
_cell_angle_alpha 152.25
_cell_angle_beta 149.07
_cell_angle_gamma 42.03
_symmetry_space_group_name_H-M 'P 1'
_symmetry_Int_Tables_number 1
loop_
_symmetry_equiv_pos_as_xyz
'x,y,z'
loop_
_atom_site_label
_atom_site_fract_x
_atom_site_fract_y
_atom_site_fract_z
Zr1 0.0000 0.0000 0.0000
Zr2 0.7234 0.2234 0.5000
Pb1 0.3348 0.8348 0.5000
Se1 0.5714 0.5714 0.0000
# Excess energy over the best structure of this formula in the dataset   0.0522 eV per atom
# ΔE_f (raw)   -666 meV per atom
# V   22.32 Å³/atom



# 9
# LaCo2Pb (PBEsol, relaxed)
data_LaCo2Pb
_chemical_formula_sum 'La1 Co2 Pb1'
_cell_length_a 3.9220
_cell_length_b 5.1588
_cell_length_c 5.1588
_cell_angle_alpha 46.28
_cell_angle_beta 90.00
_cell_angle_gamma 90.00
_symmetry_space_group_name_H-M 'P 1'
_symmetry_Int_Tables_number 1
loop_
_symmetry_equiv_pos_as_xyz
'x,y,z'
loop_
_atom_site_label
_atom_site_fract_x
_atom_site_fract_y
_atom_site_fract_z
La1 0.0000 0.0000 0.0000
Co1 0.0000 0.2840 0.2840
Co2 0.5000 0.4119 0.4119
Pb1 0.5000 0.7074 0.7074
# ΔH_f (0 K)   -0.014 eV per atom
# V   18.86 Å³/atom



# 10
# Cd2CoP (PBEsol, relaxed)
data_Cd2CoP
_chemical_formula_sum 'Cd2 Co1 P1'
_cell_length_a 8.6405
_cell_length_b 8.6405
_cell_length_c 8.6405
_cell_angle_alpha 19.99
_cell_angle_beta 19.99
_cell_angle_gamma 19.99
_symmetry_space_group_name_H-M 'P 1'
_symmetry_Int_Tables_number 1
loop_
_symmetry_equiv_pos_as_xyz
'x,y,z'
loop_
_atom_site_label
_atom_site_fract_x
_atom_site_fract_y
_atom_site_fract_z
Cd1 0.0000 0.0000 0.0000
Cd2 0.2317 0.2317 0.2317
Co1 0.4816 0.4816 0.4816
P1 0.7655 0.7655 0.7655
# ΔH_f (0 K)   -0.072 eV per atom
# V   16.49 Å³/atom



# 11
# ErTmMg2 (PBEsol, relaxed)
data_ErTmMg2
_chemical_formula_sum 'Er1 Tm1 Mg2'
_cell_length_a 5.2455
_cell_length_b 5.2455
_cell_length_c 5.2455
_cell_angle_alpha 60.00
_cell_angle_beta 60.00
_cell_angle_gamma 60.00
_symmetry_space_group_name_H-M 'P 1'
_symmetry_Int_Tables_number 1
loop_
_symmetry_equiv_pos_as_xyz
'x,y,z'
loop_
_atom_site_label
_atom_site_fract_x
_atom_site_fract_y
_atom_site_fract_z
Er1 0.0000 0.0000 0.0000
Tm1 0.5000 0.5000 0.5000
Mg1 0.2500 0.2500 0.2500
Mg2 0.7500 0.7500 0.7500
# ΔH_f (0 K)   -0.048 eV per atom
# V   25.51 Å³/atom



# 12
# BeReTc2 (PBEsol, relaxed)
data_BeReTc2
_chemical_formula_sum 'Be1 Re1 Tc2'
_cell_length_a 4.8036
_cell_length_b 4.8036
_cell_length_c 4.8036
_cell_angle_alpha 136.34
_cell_angle_beta 136.34
_cell_angle_gamma 63.46
_symmetry_space_group_name_H-M 'P 1'
_symmetry_Int_Tables_number 1
loop_
_symmetry_equiv_pos_as_xyz
'x,y,z'
loop_
_atom_site_label
_atom_site_fract_x
_atom_site_fract_y
_atom_site_fract_z
Be1 0.0000 0.0000 0.0000
Re1 0.7500 0.2500 0.5000
Tc1 0.2500 0.7500 0.5000
Tc2 0.5000 0.5000 0.0000
# ΔH_f (0 K)   0.141 eV per atom
# V   13.04 Å³/atom



Number 1: D(E_F) 1.064 states/eV/atom. Number 2: D(E_F) 0.712 states/eV/atom. Number 3: D(E_F) 1.090 states/eV/atom. Number 4: D(E_F) 0.531 states/eV/atom. Number 5: D(E_F) 0.508 states/eV/atom. Number 6: D(E_F) 1.454 states/eV/atom. Number 7: D(E_F) 0.986 states/eV/atom. Number 8: D(E_F) 0.712 states/eV/atom. Number 9: D(E_F) 1.252 states/eV/atom. Number 10: D(E_F) 0.403 states/eV/atom. Number 11: D(E_F) 1.350 states/eV/atom. Number 12: D(E_F) 0.936 states/eV/atom.